(1)
A relaxed KZnSn crystal, computed with PBE.

Values from the calculation:
Offset from the most stable computed form = 0 meV per atom
V = 100 Å³/cell

Lattice parameters (Å, degrees): 5.213 5.213 5.213 60.00 60.00 60.00
Fractional coordinates of all 3 atoms:
K  0.000  0.000  0.000
Zn  0.500  0.500  0.500
Sn  0.250  0.250  0.250



(2)
A relaxed KZnSn crystal, computed with PBE.

Values from the calculation:
Offset from the most stable computed form = 379 meV per atom
V = 111 Å³/cell

Lattice parameters (Å, degrees): 5.389 5.389 5.389 60.00 60.00 60.00
Fractional coordinates of all 3 atoms:
K  0.000  0.000  0.000
Zn  0.250  0.250  0.250
Sn  0.750  0.750  0.750



(3)
A relaxed KZn2Sn2 crystal, computed with PBE.

Values from the calculation:
V = 129 Å³/cell
Final energy = -2.45 eV per atom

Lattice parameters (Å, degrees): 6.823 6.823 6.823 140.13 140.13 57.66
Fractional coordinates of all 5 atoms:
K  0.000  0.000  0.000
Zn  0.250  0.750  0.500
Zn  0.750  0.250  0.500
Sn  0.378  0.378  0.000
Sn  0.622  0.622  0.000



(4)
A relaxed KZrSn crystal, computed with PBE.

Values from the calculation:
Offset from the most stable computed form = 0 meV per atom
V = 99 Å³/cell

Lattice parameters (Å, degrees): 5.201 5.201 5.201 60.00 60.00 60.00
Fractional coordinates of all 3 atoms:
K  0.000  0.000  0.000
Zr  0.500  0.500  0.500
Sn  0.250  0.250  0.250



(5)
A relaxed KZr3Sn5 crystal, computed with PBE.

Values from the calculation:
V = 254 Å³/cell
Final energy = -5.45 eV per atom

Lattice parameters (Å, degrees): 6.166 6.166 7.718 90.00 90.00 120.00
Fractional coordinates of all 9 atoms:
K  0.000  0.000  0.000
Zr  0.000  0.500  0.500
Zr  0.500  0.000  0.500
Zr  0.500  0.500  0.500
Sn  0.000  0.000  0.500
Sn  0.333  0.667  0.185
Sn  0.333  0.667  0.815
Sn  0.667  0.333  0.185
Sn  0.667  0.333  0.815



(6)
A relaxed KZrSn crystal, computed with PBE.

Values from the calculation:
Offset from the most stable computed form = 709 meV per atom
V = 97 Å³/cell

Lattice parameters (Å, degrees): 5.160 5.160 5.160 60.00 60.00 60.00
Fractional coordinates of all 3 atoms:
K  0.000  0.000  0.000
Zr  0.250  0.250  0.250
Sn  0.750  0.750  0.750